# Ba2CaUN4

A relaxed structure of Ba2CaUN4 (PBE-GGA, the Alexandria database).

a b c (Å): 3.7199 6.6859 6.2195
angles (deg): 70.98 90.00 90.00
Closest atoms and distances in Å follow each position.
Fractional coordinates of all 8 atoms:
Ba1 0.0000 0.0000 0.0000  6 N 2.78-2.80
Ba2 0.5000 0.0000 0.5000  6 N 2.91-3.19
Ca1 0.0000 0.5000 0.5000  6 N 2.53-2.60
U1 0.5000 0.5000 0.0000  2 N 2.07
N1 0.0000 0.6928 0.7882  2 U 2.40, 1 Ca 2.53
N2 0.0000 0.3072 0.2118  2 U 2.40, 1 Ca 2.53
N3 0.5000 0.6837 0.2116  1 U 2.07
N4 0.5000 0.3163 0.7884  1 U 2.07

Computed properties:
Total moment: 0.0 Bohr magnetons per cell
Volume: 18.28 A^3/atom
Uncorrected formation energy: -0.937 eV/atom


# Dy5As4S

A relaxed structure of Dy5As4S (PBE-GGA, the Alexandria database).

a b c (Å): 5.7735 7.0670 7.0670
angles (deg): 80.39 65.89 65.89
Closest atoms and distances in Å follow each position.
Fractional coordinates of all 10 atoms:
Dy1 0.9006 0.4000 0.8008  1 S 2.88, 5 As 2.88-2.90
Dy2 0.3006 0.8008 0.6000  1 S 2.88, 5 As 2.88-2.90
Dy3 0.7014 0.1992 0.4000  1 S 2.88, 5 As 2.88-2.90
Dy4 0.1014 0.6000 0.1992  1 S 2.88, 5 As 2.88-2.90
Dy5 0.5011 0.0000 0.0000  4 As 2.87, 2 S 2.89
As1 0.4017 0.3983 0.8004  6 Dy 2.87-2.90
As2 0.7999 0.8004 0.6017  6 Dy 2.87-2.90
As3 0.2021 0.1996 0.3983  6 Dy 2.87-2.90
As4 0.6003 0.6017 0.1996  6 Dy 2.87-2.90
S1 0.0011 0.0000 0.0000  6 Dy 2.88-2.89

Computed properties:
Total moment: 0.0 Bohr magnetons per cell
Volume: 24.02 A^3/atom
Uncorrected formation energy: -1.663 eV/atom


# Mg7ZnPd4

A relaxed structure of Mg7ZnPd4 (PBE-GGA, the Alexandria database).

a b c (Å): 4.8229 7.8193 6.9406
angles (deg): 76.85 69.67 72.04
Closest atoms and distances in Å follow each position.
Fractional coordinates of all 12 atoms:
Mg1 0.7820 0.8727 0.5634  4 Pd 2.74-2.91, 1 Mg 2.98
Mg2 0.2180 0.1273 0.4366  4 Pd 2.74-2.91, 1 Mg 2.98
Mg3 0.0678 0.6475 0.2169  3 Pd 2.62-2.78, 1 Zn 2.81
Mg4 0.9322 0.3525 0.7831  3 Pd 2.62-2.78, 1 Zn 2.81
Mg5 0.3157 0.6298 0.7387  4 Pd 2.60-2.81
Mg6 0.5000 0.0000 0.0000  2 Zn 2.41, 4 Pd 2.65
Mg7 0.6843 0.3702 0.2613  4 Pd 2.60-2.81
Zn1 0.0000 0.0000 0.0000  2 Mg 2.41
Pd1 0.5646 0.2238 0.6470  5 Mg 2.60-2.78, 1 Pd 2.86
Pd2 0.4354 0.7762 0.3530  5 Mg 2.60-2.78, 1 Pd 2.86
Pd3 0.6968 0.6507 0.9558  6 Mg 2.62-2.85, 1 Pd 2.86
Pd4 0.3032 0.3493 0.0442  6 Mg 2.62-2.85, 1 Pd 2.86

Computed properties:
Total moment: 0.0 Bohr magnetons per cell
DFT formation energy: -356 meV/atom
Volume: 19.28 A^3/atom


# Er5ZnNi4

A relaxed structure of Er5ZnNi4 (PBE-GGA, the Alexandria database).

a b c (Å): 3.3720 3.3720 17.0241
angles (deg): 90.00 90.00 90.00
Closest atoms and distances in Å follow each position.
Fractional coordinates of all 10 atoms:
Er1 0.5000 0.5000 0.1115  4 Ni 2.87, 4 Zn 3.05
Er2 0.5000 0.5000 0.3050  8 Ni 2.91-2.93
Er3 0.5000 0.5000 0.5000  8 Ni 2.91
Er4 0.5000 0.5000 0.6950  8 Ni 2.91-2.93
Er5 0.5000 0.5000 0.8885  4 Ni 2.87, 4 Zn 3.05
Zn1 0.0000 0.0000 0.0000  8 Er 3.05, 4 Zn 3.37
Ni1 0.0000 0.0000 0.2050  8 Er 2.87-2.93
Ni2 0.0000 0.0000 0.4025  8 Er 2.91
Ni3 0.0000 0.0000 0.5975  8 Er 2.91
Ni4 0.0000 0.0000 0.7950  8 Er 2.87-2.93

Computed properties:
Total moment: 0.0 Bohr magnetons per cell
DFT formation energy: -412 meV/atom
Volume: 19.36 A^3/atom